# 1
Density functional theory data (PBE) for Y3Ho4ScSe8 after structural relaxation.

- SG = R-3m, No. 166
- formation energy without anion corrections (eV per atom) = -1.71

Lattice parameters (Å, degrees): 8.099 8.099 8.099 59.99 59.99 59.99
Sites, in units of the cell vectors:
1 Y 0.000 0.500 0.500
2 Y 0.500 0.000 0.500
3 Y 0.500 0.500 0.000
4 Ho 0.000 0.000 0.500
5 Ho 0.000 0.500 0.000
6 Ho 0.500 0.000 0.000
7 Ho 0.500 0.500 0.500
8 Sc 0.000 0.000 0.000
9 Se 0.244 0.754 0.754
10 Se 0.246 0.246 0.756
11 Se 0.246 0.756 0.246
12 Se 0.249 0.249 0.249
13 Se 0.751 0.751 0.751
14 Se 0.754 0.244 0.754
15 Se 0.754 0.754 0.244
16 Se 0.756 0.246 0.246

***

# 2
Density functional theory data (PBE) for CsAgBiSe2 after structural relaxation.

- SG = Cmme, No. 67
- formation energy without anion corrections (eV per atom) = -0.42

Lattice parameters (Å, degrees): 8.670 8.670 6.617 90.00 90.00 136.99
Sites, in units of the cell vectors:
1 Cs 0.250 0.750 0.750
2 Cs 0.750 0.250 0.250
3 Ag 0.000 0.000 0.000
4 Ag 0.500 0.500 0.000
5 Bi 0.250 0.250 0.500
6 Bi 0.750 0.750 0.500
7 Se 0.123 0.877 0.238
8 Se 0.377 0.623 0.238
9 Se 0.623 0.377 0.762
10 Se 0.877 0.123 0.762

***

# 3
Density functional theory data (PBE) for TbYPt6 after structural relaxation.

- SG = P4/mmm, No. 123
- ΔE to the lowest computed polymorph (meV per atom) = 0.0
- energy of formation from the pure elements (eV/atom) = -1.009

Lattice parameters (Å, degrees): 4.128 4.128 8.255 90.00 90.00 90.00
Sites, in units of the cell vectors:
1 Tb 0.000 0.000 0.000
2 Y 0.000 0.000 0.500
3 Pt 0.000 0.500 0.250
4 Pt 0.000 0.500 0.750
5 Pt 0.500 0.000 0.250
6 Pt 0.500 0.000 0.750
7 Pt 0.500 0.500 0.000
8 Pt 0.500 0.500 0.500

***

# 4
Density functional theory data (PBE) for Pm2TcSn after structural relaxation.

- SG = P4/mmm, No. 123
- ΔE to the lowest computed polymorph (meV per atom) = 0.0
- energy of formation from the pure elements (eV/atom) = -0.195

Lattice parameters (Å, degrees): 3.701 3.701 7.300 90.00 90.00 90.00
Sites, in units of the cell vectors:
1 Pm 0.000 0.000 0.223
2 Pm 0.000 0.000 0.777
3 Tc 0.500 0.500 0.000
4 Sn 0.500 0.500 0.500

***

# 5
Density functional theory data (PBE) for ReRu2W after structural relaxation.

- SG = I4/mmm, No. 139
- ΔE to the lowest computed polymorph (meV per atom) = 0.0
- energy of formation from the pure elements (eV/atom) = 0.012

Lattice parameters (Å, degrees): 4.755 4.755 4.755 131.57 131.57 70.90
Sites, in units of the cell vectors:
1 Re 0.000 0.000 0.000
2 Ru 0.250 0.750 0.500
3 Ru 0.750 0.250 0.500
4 W 0.500 0.500 0.000

***

# 6
Density functional theory data (PBE) for Pr4CoCu after structural relaxation.

- SG = I4_1md, No. 109
- ΔE to the lowest computed polymorph (meV per atom) = 116.6
- energy of formation from the pure elements (eV/atom) = 0.072

Lattice parameters (Å, degrees): 7.926 7.926 7.926 107.25 107.25 114.01
Sites, in units of the cell vectors:
1 Pr 0.162 0.468 0.694
2 Pr 0.218 0.024 0.806
3 Pr 0.218 0.412 0.194
4 Pr 0.302 0.000 0.302
5 Pr 0.698 0.000 0.698
6 Pr 0.750 0.552 0.802
7 Pr 0.750 0.948 0.198
8 Pr 0.774 0.468 0.306
9 Co 0.735 0.235 0.500
10 Co 0.985 0.985 0.000
11 Cu 0.232 0.732 0.500
12 Cu 0.482 0.482 0.000

***

# 7
Density functional theory data (PBE) for AgHg2Rh after structural relaxation.

- SG = P4mm, No. 99
- energy of formation from the pure elements (eV/atom) = 0.217

Lattice parameters (Å, degrees): 3.584 3.584 5.955 90.00 90.00 90.00
Sites, in units of the cell vectors:
1 Ag 0.000 0.000 0.000
2 Hg 0.000 0.000 0.534
3 Hg 0.500 0.500 0.236
4 Rh 0.500 0.500 0.745

***

# 8
Density functional theory data (PBE) for Pr10NdEr4 after structural relaxation.

- SG = I4/m, No. 87
- energy of formation from the pure elements (eV/atom) = 0.433

Lattice parameters (Å, degrees): 8.972 8.972 8.972 111.46 111.46 105.55
Sites, in units of the cell vectors:
1 Pr 0.052 0.397 0.110
2 Pr 0.057 0.948 0.345
3 Pr 0.250 0.750 0.500
4 Pr 0.288 0.943 0.890
5 Pr 0.397 0.288 0.345
6 Pr 0.603 0.712 0.655
7 Pr 0.712 0.057 0.110
8 Pr 0.750 0.250 0.500
9 Pr 0.943 0.052 0.655
10 Pr 0.948 0.603 0.890
11 Nd 0.000 0.000 0.000
12 Er 0.226 0.444 0.670
13 Er 0.444 0.774 0.219
14 Er 0.556 0.226 0.781
15 Er 0.774 0.556 0.330

***

# 9
Density functional theory data (PBE) for CoReSb2I after structural relaxation.

- SG = P4/mmm, No. 123
- ΔE to the lowest computed polymorph (meV per atom) = 102.2
- formation energy without anion corrections (eV per atom) = 1.33

Lattice parameters (Å, degrees): 4.860 4.860 5.169 90.00 90.00 90.00
Sites, in units of the cell vectors:
1 Co 0.000 0.000 0.000
2 Re 0.500 0.500 0.500
3 Sb 0.000 0.500 0.000
4 Sb 0.500 0.000 0.000
5 I 0.000 0.000 0.500

***

# 10
Density functional theory data (PBE) for AcY2Al6 after structural relaxation.

- SG = Immm, No. 71
- ΔE to the lowest computed polymorph (meV per atom) = 121.8
- energy of formation from the pure elements (eV/atom) = -0.281

Lattice parameters (Å, degrees): 7.963 7.963 7.963 147.14 124.03 66.44
Sites, in units of the cell vectors:
1 Ac 0.000 0.000 0.000
2 Y 0.375 0.875 0.500
3 Y 0.625 0.125 0.500
4 Al 0.014 0.313 0.701
5 Al 0.326 0.500 0.826
6 Al 0.388 0.687 0.701
7 Al 0.612 0.313 0.299
8 Al 0.674 0.500 0.174
9 Al 0.986 0.687 0.299

***

# 11
Density functional theory data (PBE) for Cs2YSb2O6 after structural relaxation.

- SG = C2/m, No. 12
- formation energy without anion corrections (eV per atom) = -1.84

Lattice parameters (Å, degrees): 6.252 6.252 7.747 111.30 111.30 61.36
Sites, in units of the cell vectors:
1 Cs 0.215 0.215 0.179
2 Cs 0.785 0.785 0.821
3 Y 0.000 0.000 0.500
4 Sb 0.425 0.425 0.767
5 Sb 0.575 0.575 0.233
6 O 0.232 0.232 0.590
7 O 0.244 0.728 0.283
8 O 0.272 0.756 0.717
9 O 0.728 0.244 0.283
10 O 0.756 0.272 0.717
11 O 0.768 0.768 0.410

***

# 12
Density functional theory data (PBE) for SmDyMgPa after structural relaxation.

- SG = F-43m, No. 216
- energy of formation from the pure elements (eV/atom) = 0.341

Lattice parameters (Å, degrees): 5.413 5.413 5.413 60.00 60.00 60.00
Sites, in units of the cell vectors:
1 Sm 0.000 0.000 0.000
2 Dy 0.500 0.500 0.500
3 Mg 0.250 0.250 0.250
4 Pa 0.750 0.750 0.750

***

Listing magnetic moment for the structures above in their given order: 0.00 0.00 0.00 0.00 0.00 0.00 0.00 0.00 2.70 0.00 0.93 0.00 μB per formula unit.